Density functional theory data (GGA-PBE) for crystalline LiNdMgAl at its relaxed geometry.

Cell and atoms, written as extended XYZ:
```
4
Lattice="5.0196 0.0000 0.0000 2.5098 4.3471 0.0000 2.5098 1.4490 4.0985" Properties=species:S:1:pos:R:3 pbc="T T T"
Mg 2.5098 1.4490 1.0246
Nd 7.5294 4.3471 3.0739
Al 5.0196 2.8981 2.0492
Li 0.0000 0.0000 0.0000
```

Results
energy of formation from the pure elements	-0.23	eV/atom
N(E_F)	0.4727	states/eV per atom

Density functional theory data (GGA-PBE) for crystalline BeNi2N at its relaxed geometry.

Cell and atoms, written as extended XYZ:
```
4
Lattice="2.6005 0.0000 0.0000 1.3002 2.2521 0.0000 1.3002 0.7507 6.7820" Properties=species:S:1:pos:R:3 pbc="T T T"
Ni 1.3002 0.7507 4.6587
Ni 3.9007 2.2521 2.1233
Be 0.0000 0.0000 0.0000
N 2.6005 1.5014 3.3910
```

Results
N(E_F)	0.6608	states/eV per atom
ΔE_f (raw)	0.526	eV/atom

Density functional theory data (GGA-PBE) for crystalline Zr3HgBi at its relaxed geometry.

Cell and atoms, written as extended XYZ:
```
20
Lattice="10.1128 2.2504 1.7712 4.2360 7.7414 0.1925 4.2360 2.0061 7.4794" Properties=species:S:1:pos:R:3 pbc="T T T"
Zr 9.8227 7.5681 1.5552
Zr 13.8184 9.8331 3.3380
Zr 8.7620 4.4298 7.8879
Zr 4.7663 2.1647 6.1052
Zr 11.3251 4.9208 2.2815
Zr 12.3160 9.7492 6.0818
Zr 7.2597 7.0770 7.1616
Zr 6.2687 2.2487 3.3614
Zr 10.4666 7.1330 6.8980
Zr 3.0618 2.4918 3.2450
Zr 8.1182 4.8648 2.5452
Zr 15.5230 9.5061 6.1982
Hg 6.7642 7.7515 1.3372
Hg 11.8206 4.2463 8.1059
Hg 6.7642 4.5925 5.3509
Hg 11.8206 7.4053 4.0923
Bi 13.5798 7.1019 7.2250
Bi 10.0613 4.4315 5.1233
Bi 5.0050 4.8959 2.2181
Bi 8.5234 7.5663 4.3199
```

Results
energy of formation from the pure elements	-0.16	eV/atom
N(E_F)	0.8642	states/eV per atom

Density functional theory data (GGA-PBE) for crystalline V12CuGe3 at its relaxed geometry.

Cell and atoms, written as extended XYZ:
```
16
Lattice="-4.1826 2.2795 -0.0860 -1.7013 -2.9984 3.2696 3.0157 5.7932 6.8820" Properties=species:S:1:pos:R:3 pbc="T T T"
V -0.9428 3.3460 2.5780
V 0.5330 6.1810 5.9457
V -3.9832 0.2080 1.5704
V -2.4969 3.1163 5.0109
V -0.5164 -0.7900 4.1734
V 0.9860 2.0959 7.6018
V -1.6998 1.8917 0.8503
V -0.2241 4.7266 4.2181
V -1.9007 -0.9270 1.6132
V -0.3713 1.9579 5.0547
V 0.3284 0.6989 2.5498
V 1.8308 3.5848 5.9782
Cu 1.5079 2.8966 3.4410
Ge -2.1905 1.0841 3.3067
Ge -0.6777 3.9902 6.7589
Ge 0.0000 0.0000 0.0000
```

Results
energy of formation from the pure elements	-0.22	eV/atom
N(E_F)	1.7188	states/eV per atom

Density functional theory data (GGA-PBE) for crystalline DyPaSi2Ir5 at its relaxed geometry.

Cell and atoms, written as extended XYZ:
```
9
Lattice="3.9961 0.0000 0.0000 0.0000 3.9961 0.0000 0.0000 0.0000 11.2484" Properties=species:S:1:pos:R:3 pbc="T T T"
Dy 0.0000 0.0000 5.6242
Pa 0.0000 0.0000 0.0000
Si 1.9980 1.9980 3.2936
Si 1.9980 1.9980 7.9548
Ir 0.0000 1.9980 1.9983
Ir 1.9980 0.0000 1.9983
Ir 0.0000 1.9980 9.2501
Ir 1.9980 0.0000 9.2501
Ir 1.9980 1.9980 5.6242
```

Results
N(E_F)	0.4568	states/eV per atom
ΔE_f (raw)	-0.645	eV/atom

Density functional theory data (GGA-PBE) for crystalline Pm4NdEr at its relaxed geometry.

Cell and atoms, written as extended XYZ:
```
6
Lattice="-0.8021 6.3213 -0.1335 -5.6708 2.8954 -0.2805 -0.2697 0.1228 6.0678" Properties=species:S:1:pos:R:3 pbc="T T T"
Pm -2.3817 3.1405 5.6926
Pm -4.3608 6.1990 -0.0388
Pm -5.5084 7.7023 2.9378
Pm -1.2341 1.6372 2.7160
Nd -3.3712 4.6698 2.8269
Er 0.0000 0.0000 0.0000
```

Results
energy of formation from the pure elements	0.11	eV/atom
N(E_F)	1.8897	states/eV per atom

Density functional theory data (GGA-PBE) for crystalline HfMoP2 at its relaxed geometry.

Cell and atoms, written as extended XYZ:
```
4
Lattice="3.5573 0.0000 0.0000 1.7787 3.0807 0.0000 1.7787 1.0269 6.0241" Properties=species:S:1:pos:R:3 pbc="T T T"
Hf 5.3360 3.0807 5.9585
Mo 3.5573 2.0538 3.1333
P 1.7787 1.0269 4.3957
P 1.7787 1.0269 1.5727
```

Results
energy of formation from the pure elements	-0.72	eV/atom
N(E_F)	0.7377	states/eV per atom

Density functional theory data (GGA-PBE) for crystalline Tb8Ho2Er3 at its relaxed geometry.

Cell and atoms, written as extended XYZ:
```
13
Lattice="5.5292 0.0000 0.7721 0.0001 7.5912 -0.0006 -1.3893 -3.7964 9.9439" Properties=species:S:1:pos:R:3 pbc="T T T"
Tb -0.4667 3.7954 3.3436
Tb 4.6067 -0.0006 7.3719
Tb 5.1611 -0.0004 3.4026
Tb -1.0211 3.7952 7.3128
Tb 1.6733 1.5933 8.1968
Tb 1.6733 -1.5946 8.1968
Tb 2.4667 5.3894 2.5187
Tb 2.4667 2.2015 2.5187
Ho 2.0943 -0.0002 5.1790
Ho 2.0457 3.7950 5.5364
Er 2.7646 0.0000 0.3861
Er 4.1399 -1.6318 10.7159
Er 0.0001 5.4266 -0.0004
```

Results
energy of formation from the pure elements	0.23	eV/atom
N(E_F)	1.5762	states/eV per atom

Density functional theory data (GGA-PBE) for crystalline Tb6RhSe3S2 at its relaxed geometry.

Cell and atoms, written as extended XYZ:
```
12
Lattice="-2.9551 0.6265 -2.5909 -0.2391 -8.0240 -1.6674 -4.2413 0.6295 8.0460" Properties=species:S:1:pos:R:3 pbc="T T T"
Tb -4.0752 -6.6459 3.0410
Tb -3.5607 -3.9545 0.0486
Tb -3.3603 -0.1222 0.7467
Tb -0.0892 -1.8652 -0.3493
Tb -7.3463 -4.9029 4.1370
Tb -3.8748 -2.8136 3.7391
Rh -1.4775 0.3132 -1.2954
Se -1.5971 -3.6988 -2.1292
Se -5.3000 -0.4254 2.8857
Se -2.1355 -6.3427 0.9020
S -5.4278 -4.3920 2.0724
S -2.0077 -2.3761 1.7153
```

Results
N(E_F)	0.4462	states/eV per atom
ΔE_f (raw)	-1.695	eV/atom

Density functional theory data (GGA-PBE) for crystalline Cd2ReSiMo at its relaxed geometry.

Cell and atoms, written as extended XYZ:
```
5
Lattice="-0.7019 -3.7919 -2.7683 -0.6833 -2.6067 3.7439 -4.6420 0.9797 -0.1651" Properties=species:S:1:pos:R:3 pbc="T T T"
Re -3.0136 -2.7095 0.4053
Mo -0.3416 -1.3034 1.8719
Si 0.0000 0.0000 0.0000
Cd -2.3210 0.4899 -0.0825
Cd -0.3509 -1.8960 -1.3841
```

Results
N(E_F)	0.8049	states/eV per atom
ΔE_f (raw)	1.573	eV/atom

Density functional theory data (GGA-PBE) for crystalline Sr2YIn at its relaxed geometry.

Cell and atoms, written as extended XYZ:
```
4
Lattice="-4.0018 1.7547 2.6209 1.2951 -2.9489 3.9518 3.0684 4.0197 1.9939" Properties=species:S:1:pos:R:3 pbc="T T T"
In 2.1818 0.5354 2.9729
Sr 0.0000 0.0000 0.0000
Sr -1.3534 -0.5971 3.2864
Y -0.4667 2.8872 2.3074
```

Results
energy of formation from the pure elements	-0.10	eV/atom
N(E_F)	0.4476	states/eV per atom

Density functional theory data (GGA-PBE) for crystalline Pr4YRh4 at its relaxed geometry.

Cell and atoms, written as extended XYZ:
```
18
Lattice="-2.3965 4.7752 -2.3390 -5.1566 0.9793 7.2828 6.3555 5.0604 3.8196" Properties=species:S:1:pos:R:3 pbc="T T T"
Pr 3.2704 6.8807 4.8062
Pr -0.0317 8.9843 5.2124
Pr -4.0128 3.0274 4.4015
Pr 2.4864 3.5872 3.3951
Pr -1.7646 7.2382 7.9328
Pr -1.7426 3.3594 7.2631
Pr -3.1072 5.6990 1.6563
Pr 0.1119 4.4837 0.3865
Y 0.0000 0.0000 0.0000
Y -0.5988 5.4075 4.3817
Rh -3.0186 5.5541 5.6632
Rh 1.3276 6.2440 2.6187
Rh -0.1558 5.0343 8.9407
Rh 2.0327 8.9991 3.2437
Rh -5.1333 5.6079 3.6624
Rh -1.4601 3.4190 2.7016
Rh 0.7560 6.4129 6.5434
Rh 0.8613 1.9885 1.6801
```

Results
energy of formation from the pure elements	-0.55	eV/atom
N(E_F)	0.6606	states/eV per atom

Density functional theory data (GGA-PBE) for crystalline Pm5ErAs6 at its relaxed geometry.

Cell and atoms, written as extended XYZ:
```
12
Lattice="0.6663 6.1347 3.8986 0.5317 -1.6634 7.0893 6.5534 -1.1652 2.9949" Properties=species:S:1:pos:R:3 pbc="T T T"
As 2.6977 4.1034 4.5028
As 2.6297 0.1489 6.1241
As 0.2955 1.1086 2.7067
As 0.9025 3.3626 8.2813
As 5.1217 3.1572 7.8587
As 5.0537 -0.7973 9.4800
Er 0.0000 0.0000 0.0000
Pm 4.7766 2.0140 5.1287
Pm 2.3575 -0.9427 3.3618
Pm 0.5990 2.2356 5.4940
Pm 4.7275 -1.8860 6.7224
Pm 2.9747 1.2920 8.8541
```

Results
energy of formation from the pure elements	-1.52	eV/atom
N(E_F)	0.0955	states/eV per atom

Density functional theory data (GGA-PBE) for crystalline Ca3LaSm2Se6 at its relaxed geometry.

Cell and atoms, written as extended XYZ:
```
12
Lattice="7.2464 0.0020 -0.0004 -3.6197 6.2776 -0.0004 -1.2103 -2.0956 6.9642" Properties=species:S:1:pos:R:3 pbc="T T T"
Ca -2.4268 4.1913 3.4817
Ca 4.8432 -0.0074 3.4817
Ca 1.2082 2.0920 3.4817
La 0.0000 0.0000 0.0000
Sm 0.0050 4.1841 -0.0004
Sm 3.6217 2.0954 -0.0004
Se 3.6433 2.0587 5.1854
Se 2.3990 4.1538 1.7765
Se -1.2270 2.1253 1.7781
Se -0.0376 4.1846 5.1854
Se 0.0174 0.0301 5.1870
Se 2.4540 -0.0006 1.7781
```

Results
N(E_F)	0.4090	states/eV per atom
ΔE_f (raw)	-1.921	eV/atom

Density functional theory data (GGA-PBE) for crystalline Sr2HgRh at its relaxed geometry.

Cell and atoms, written as extended XYZ:
```
4
Lattice="-0.5497 4.3669 0.4732 -0.5389 1.7612 4.0253 7.3439 2.9126 2.1140" Properties=species:S:1:pos:R:3 pbc="T T T"
Hg 4.6915 6.7805 4.9594
Rh 1.5638 2.2602 1.6531
Sr -0.6859 6.1719 4.5294
Sr 2.7250 4.4765 3.2754
```

Results
energy of formation from the pure elements	-0.19	eV/atom
N(E_F)	0.5319	states/eV per atom

Density functional theory data (GGA-PBE) for crystalline NaLi2RhPb at its relaxed geometry.

Cell and atoms, written as extended XYZ:
```
5
Lattice="4.8560 0.0000 0.0000 0.0000 4.8560 0.0000 0.0000 0.0000 5.1696" Properties=species:S:1:pos:R:3 pbc="T T T"
Pb 0.0000 0.0000 2.5848
Na 2.4280 2.4280 2.5848
Rh 0.0000 0.0000 0.0000
Li 0.0000 2.4280 0.0000
Li 2.4280 0.0000 0.0000
```

Results
energy of formation from the pure elements	-0.05	eV/atom
N(E_F)	0.3864	states/eV per atom

Density functional theory data (GGA-PBE) for crystalline YAuC at its relaxed geometry.

Cell and atoms, written as extended XYZ:
```
6
Lattice="-3.6828 -0.3597 1.2762 0.0571 -9.2757 1.3894 -1.1254 0.7445 3.6753" Properties=species:S:1:pos:R:3 pbc="T T T"
Y -0.6128 -4.9237 2.7003
Y -1.7690 -1.6240 2.4148
C -3.1464 -2.8251 4.4390
C -2.2733 -3.6408 3.8825
Au -3.5951 -8.9061 4.8944
Au -2.3556 -7.3240 2.8457
```

Results
energy of formation from the pure elements	-0.29	eV/atom
N(E_F)	0.3366	states/eV per atom

Density functional theory data (GGA-PBE) for crystalline CrSnS3 at its relaxed geometry.

Cell and atoms, written as extended XYZ:
```
5
Lattice="-2.1525 2.2358 -3.4301 -3.8366 0.2521 2.5720 1.4301 4.0417 1.7370" Properties=species:S:1:pos:R:3 pbc="T T T"
Cr 0.0000 0.0000 0.0000
S -1.9183 0.1261 1.2860
S 0.7150 2.0209 0.8685
S -1.0763 1.1179 -1.7151
Sn -2.2795 3.2649 0.4394
```

Results
N(E_F)	1.0200	states/eV per atom
ΔE_f (raw)	-0.135	eV/atom

Density functional theory data (GGA-PBE) for crystalline K3Li2Au7 at its relaxed geometry.

Cell and atoms, written as extended XYZ:
```
12
Lattice="-4.8367 -2.6062 1.5833 -0.6814 -5.5943 -0.9657 1.9440 -4.6460 8.6151" Properties=species:S:1:pos:R:3 pbc="T T T"
K 0.0000 0.0000 0.0000
K -3.9038 -9.0165 4.2058
K 0.3296 -3.8299 5.0269
Li -1.7541 -10.1032 8.9840
Li -1.8201 -2.7432 0.2487
Au -1.7871 -6.4232 4.6164
Au -4.3058 -5.8416 3.0246
Au -2.2350 -7.3308 1.7543
Au -1.8954 -4.5428 2.2355
Au 0.7316 -7.0048 6.2081
Au -1.6788 -8.3036 6.9972
Au -1.3392 -5.5156 7.4784
```

Results
energy of formation from the pure elements	-0.39	eV/atom
N(E_F)	0.0392	states/eV per atom

Density functional theory data (GGA-PBE) for crystalline Nd2TmAg3Te6 at its relaxed geometry.

Cell and atoms, written as extended XYZ:
```
12
Lattice="4.4571 0.0000 0.0000 0.0000 8.5605 0.2925 -2.2285 -2.5243 9.5551" Properties=species:S:1:pos:R:3 pbc="T T T"
Nd 2.2285 4.2643 6.4920
Nd 0.0000 1.7720 3.3557
Tm 2.2285 0.0000 0.0000
Ag 2.2285 4.2803 0.1463
Ag 2.2285 0.4793 5.6841
Ag 0.0000 5.5570 4.1635
Te 0.0000 6.5070 6.8030
Te 2.2285 4.0972 3.2236
Te 2.2285 -0.4707 3.0446
Te 0.0000 2.1151 0.2063
Te 2.2285 3.9211 9.6414
Te 0.0000 1.9390 6.6240
```

Results
ΔE_f (raw)	-0.848	eV/atom

| no. | electronic total energy (eV for the cell shown) | magnetic moment (μB per atom) |
| --- | --- | --- |
| 1 | -12.94 | 0.000 |
| 2 | -21.51 | 0.000 |
| 3 | -122.58 | 0.000 |
| 4 | -130.95 | 0.014 |
| 5 | -75.05 | 0.000 |
| 6 | -27.67 | 0.000 |
| 7 | -34.50 | 0.000 |
| 8 | -56.92 | 0.000 |
| 9 | -74.19 | 0.000 |
| 10 | -22.67 | 0.424 |
| 11 | -12.97 | 0.000 |
| 12 | -119.88 | 0.000 |
| 13 | -74.46 | 0.000 |
| 14 | -64.33 | 0.000 |
| 15 | -11.78 | 0.000 |
| 16 | -16.47 | 0.000 |
| 17 | -39.68 | 0.000 |
| 18 | -26.68 | 0.473 |
| 19 | -34.75 | 0.000 |
| 20 | -51.59 | 0.000 |